Arrangement 1

Here is an optimized crystal structure of ScAl2ZnCu4 from the Open Quantum Materials Database. Energies are from GGA-PBE.

Size of the total moment ... 0.00 μB/atom
Volume ... 14.06 A^3/atom

a = 7.547 Å, b = 7.547 Å, c = 7.547 Å
α = 133.12°, β = 133.12°, γ = 68.46°
Atoms (fractional coordinates):
Cu: 0.144 0.125 0.519
Cu: 0.375 0.894 0.019
Cu: 0.144 0.625 0.019
Cu: 0.875 0.894 0.519
Cu: 0.875 0.356 0.981
Cu: 0.606 0.625 0.481
Cu: 0.606 0.125 0.981
Cu: 0.375 0.356 0.481
Zn: 0.250 0.250 0.000
Zn: 0.500 0.000 0.500
Sc: 0.000 0.500 0.500
Sc: 0.750 0.750 0.000
Al: 0.243 0.743 0.500
Al: 0.757 0.257 0.500
Al: 0.507 0.507 0.000
Al: 0.993 0.993 0.000

=====

Arrangement 2

Here is an optimized crystal structure of ScAl2ZnCu4 from the Open Quantum Materials Database. Energies are from GGA-PBE.

Size of the total moment ... 0.00 μB/atom
Volume ... 14.05 A^3/atom

a = 4.251 Å, b = 4.251 Å, c = 6.221 Å
α = 90.00°, β = 90.00°, γ = 90.00°
Atoms (fractional coordinates):
Zn: 0.000 0.000 0.500
Cu: 0.000 0.500 0.264
Cu: 0.500 0.000 0.264
Cu: 0.000 0.500 0.736
Cu: 0.500 0.000 0.736
Sc: 0.500 0.500 0.000
Al: 0.500 0.500 0.500
Al: 0.000 0.000 0.000

=====

The relative energies come out as arrangement 1 0.023; arrangement 2 0.000, with values in eV/atom.